Crystalline SmPa2CrC4 at its relaxed geometry, computed with PBE.

Properties
total magnetic moment = 1.49 μB/f.u.
N(E_F) = 5.95 states/eV/f.u.
calculated density = 9.4 g/cm³
calculated formation energy = -0.179 eV/atom
calculated volume = 15.73 Å³/atom

Cell: 3.5673 11.6552 12.1043 Å, 90.00 90.00 90.00°
With the nearest neighbours (Å) after each atom.
Space group Cmcm (No. 63)
One atom of each set of equivalent atoms:
Sm 0.0000 0.1059 0.2500  6 C 2.78-2.89
Pa 0.0000 0.3673 0.0478  6 C 2.43-2.53
Cr 0.0000 0.1637 0.7500  4 C 1.87-1.98
C 0.0000 0.0000 0.0000  4 Pa 2.43
C 0.0000 0.2620 0.6279  1 Cr 1.87
C 0.0000 0.4106 0.2500  2 Cr 1.98